Here is crystalline BaCe3Y2Te6 at its relaxed geometry from Alexandria via LeMat-Bulk. Energies are from GGA-PBE.

## Properties
- E_form (uncorrected): -1.37 eV/atom
- V: 394.47 Å³ per cell
- DOS(E_F): 23.84 states/eV/f.u.
- Magnetic moment: 3.86 μB per formula unit

Unit cell a=4.4852 b=9.1668 c=10.1380 alpha=103.62 beta=102.78 gamma=90.00
Last column: nearest neighbours and their distance in Å.
Atoms (fractional coordinates):
Ba: 0.5000 0.0000 0.0000  6 Te 3.31-3.35
Ce: 0.5000 0.5000 0.0000  6 Te 3.12-3.23
Ce: 0.8387 0.1725 0.6773  6 Te 3.15-3.29
Ce: 0.1613 0.8275 0.3227  6 Te 3.15-3.29
Y: 0.8302 0.6612 0.6604  6 Te 3.11-3.18
Y: 0.1698 0.3388 0.3396  6 Te 3.11-3.18
Te: 0.3257 0.9045 0.6514  3 Ce 3.15-3.29, 2 Y 3.18, 1 Ba 3.35
Te: 0.6681 0.5771 0.3362  3 Y 3.11-3.14, 3 Ce 3.23
Te: 0.6743 0.0955 0.3486  3 Ce 3.15-3.29, 2 Y 3.18, 1 Ba 3.35
Te: 0.0070 0.2682 0.0140  3 Ce 3.12-3.23, 1 Y 3.13, 2 Ba 3.31
Te: 0.9930 0.7318 0.9860  3 Ce 3.12-3.23, 1 Y 3.13, 2 Ba 3.31
Te: 0.3319 0.4229 0.6638  3 Y 3.11-3.14, 3 Ce 3.23

Here is crystalline BaCeTh2 at its relaxed geometry from Alexandria via LeMat-Bulk. Energies are from GGA-PBE.

## Properties
- V: 141.59 Å³ per cell
- Formation enthalpy at 0 K: 327 meV per atom
- DOS(E_F): 7.79 states/eV/f.u.
- Magnetic moment: 0.00 μB per formula unit

Unit cell a=3.5735 b=3.5735 c=12.9681 alpha=82.08 beta=82.08 gamma=60.00
Last column: nearest neighbours and their distance in Å.
Atoms (fractional coordinates):
Ce: 0.5000 0.5000 0.5000  6 Th 3.48, 6 Ce 3.57
Th: 0.0937 0.0937 0.7188  3 Ce 3.48, 6 Th 3.57, 1 Ba 3.60
Th: 0.9063 0.9063 0.2812  3 Ce 3.48, 6 Th 3.57, 1 Ba 3.60
Ba: 0.0000 0.0000 0.0000  6 Ba 3.57, 2 Th 3.60

Here is crystalline BaCeTl2 at its relaxed geometry from Alexandria via LeMat-Bulk. Energies are from GGA-PBE.

## Properties
- V: 137.81 Å³ per cell
- Formation enthalpy at 0 K: -283 meV per atom
- DOS(E_F): 9.51 states/eV/f.u.
- Magnetic moment: 1.23 μB per formula unit

Unit cell a=4.0719 b=4.0719 c=8.3118 alpha=90.00 beta=90.00 gamma=90.00
Last column: nearest neighbours and their distance in Å.
Atoms (fractional coordinates):
Tl: 0.0000 0.0000 0.7840  4 Ce 3.39, 1 Tl 3.59, 4 Ba 3.72
Tl: 0.0000 0.0000 0.2160  4 Ce 3.39, 1 Tl 3.59, 4 Ba 3.72
Ba: 0.5000 0.5000 0.5000  8 Tl 3.72, 4 Ba 4.07, 2 Ce 4.16
Ce: 0.5000 0.5000 0.0000  8 Tl 3.39

Here is crystalline Ba5CeTl6 at its relaxed geometry from Alexandria via LeMat-Bulk. Energies are from GGA-PBE.

## Properties
- V: 453.57 Å³ per cell
- Formation enthalpy at 0 K: -359 meV per atom
- DOS(E_F): 15.00 states/eV/f.u.
- Magnetic moment: 1.04 μB per formula unit

Unit cell a=6.0130 b=8.3272 c=10.4195 alpha=66.44 beta=73.10 gamma=90.00
Last column: nearest neighbours and their distance in Å.
Atoms (fractional coordinates):
Tl: 0.8455 0.6258 0.3072  1 Ce 3.33, 3 Ba 3.56-3.63, 1 Tl 3.68
Tl: 0.8456 0.0672 0.3075  1 Ce 3.34, 3 Ba 3.56-3.63, 1 Tl 3.68
Tl: 0.5003 0.7905 0.9998  2 Ce 3.48, 1 Tl 3.49, 6 Ba 3.76-3.86
Tl: 0.4997 0.2095 0.0002  2 Ce 3.48, 1 Tl 3.49, 6 Ba 3.76-3.86
Tl: 0.1544 0.9328 0.6925  1 Ce 3.34, 3 Ba 3.56-3.63, 1 Tl 3.68
Tl: 0.1545 0.3742 0.6928  1 Ce 3.33, 3 Ba 3.56-3.63, 1 Tl 3.68
Ba: 0.6843 0.1838 0.6325  8 Tl 3.56-3.76
Ba: 0.3397 0.3402 0.3202  8 Tl 3.78-3.84, 6 Ba 4.12-4.19
Ba: 0.0000 0.5000 0.0000  8 Tl 3.63-3.86
Ba: 0.6603 0.6598 0.6798  8 Tl 3.78-3.84, 6 Ba 4.12-4.19
Ba: 0.3157 0.8162 0.3675  8 Tl 3.56-3.76
Ce: 0.0000 0.0000 0.0000  8 Tl 3.33-3.48

Here is crystalline BaCe2Tl9 at its relaxed geometry from Alexandria via LeMat-Bulk. Energies are from GGA-PBE.

## Properties
- V: 359.40 Å³ per cell
- Formation enthalpy at 0 K: -233 meV per atom
- DOS(E_F): 16.54 states/eV/f.u.
- Magnetic moment: 1.90 μB per formula unit

Unit cell a=4.9295 b=4.9295 c=14.7898 alpha=90.00 beta=90.00 gamma=90.00
Last column: nearest neighbours and their distance in Å.
Atoms (fractional coordinates):
Ba: 0.0000 0.0000 0.0000  12 Tl 3.49-3.62
Ce: 0.0000 0.0000 0.3427  12 Tl 3.39-3.49
Ce: 0.0000 0.0000 0.6573  12 Tl 3.39-3.49
Tl: 0.5000 0.5000 0.0000  4 Ba 3.49, 8 Tl 3.62
Tl: 0.5000 0.5000 0.3368  8 Tl 3.39-3.45, 4 Ce 3.49
Tl: 0.5000 0.5000 0.6632  8 Tl 3.39-3.45, 4 Ce 3.49
Tl: 0.5000 0.0000 0.1790  8 Tl 3.39-3.62, 2 Ce 3.46, 2 Ba 3.62
Tl: 0.5000 0.0000 0.5000  4 Ce 3.39, 8 Tl 3.45-3.49
Tl: 0.5000 0.0000 0.8210  8 Tl 3.39-3.62, 2 Ce 3.46, 2 Ba 3.62
Tl: 0.0000 0.5000 0.1790  8 Tl 3.39-3.62, 2 Ce 3.46, 2 Ba 3.62
Tl: 0.0000 0.5000 0.5000  4 Ce 3.39, 8 Tl 3.45-3.49
Tl: 0.0000 0.5000 0.8210  8 Tl 3.39-3.62, 2 Ce 3.46, 2 Ba 3.62

Here is crystalline Ba4CeTl5 at its relaxed geometry from Alexandria via LeMat-Bulk. Energies are from GGA-PBE.

## Properties
- V: 376.03 Å³ per cell
- Formation enthalpy at 0 K: -348 meV per atom
- DOS(E_F): 15.45 states/eV/f.u.
- Magnetic moment: 1.29 μB per formula unit

Unit cell a=4.1855 b=4.1855 c=21.4642 alpha=90.00 beta=90.00 gamma=90.00
Last column: nearest neighbours and their distance in Å.
Atoms (fractional coordinates):
Ba: 0.0000 0.0000 0.1896  8 Tl 3.73-3.76, 1 Ce 4.07
Ba: 0.0000 0.0000 0.3972  8 Tl 3.68-3.69
Ba: 0.0000 0.0000 0.6028  8 Tl 3.68-3.69
Ba: 0.0000 0.0000 0.8104  8 Tl 3.73-3.76, 1 Ce 4.07
Ce: 0.0000 0.0000 0.0000  8 Tl 3.44
Tl: 0.5000 0.5000 0.0815  4 Ce 3.44, 1 Tl 3.50, 4 Ba 3.76
Tl: 0.5000 0.5000 0.2952  8 Ba 3.68-3.73
Tl: 0.5000 0.5000 0.5000  8 Ba 3.69
Tl: 0.5000 0.5000 0.7048  8 Ba 3.68-3.73
Tl: 0.5000 0.5000 0.9185  4 Ce 3.44, 1 Tl 3.50, 4 Ba 3.76